Density functional theory data (PBE-GGA) for a geometry-optimized Tc2OsAu structure.

* VASP energy: -8.3421 eV per atom
* formation energy: 0.47 eV/atom
* energy relative to the lowest polymorph listed for this composition: 257 meV/atom
* calculated volume: 15.7 A^3/atom
* crystal system: orthorhombic

POSCAR file:
```
Tc2OsAu
1.0
2.705 0.006 0.000
-1.215 2.417 0.000
0.000 0.000 9.571
Au Tc Os
1 2 1
direct
0.000 0.000 0.498
0.500 0.500 0.233
0.000 0.000 0.001
0.500 0.500 0.767
```